Compound: NaVTcO2
Source: Alexandria via LeMat-Bulk
Functional: PBE with a Hubbard U
Structure: relaxed

The structure in POSCAR format:
```
NaVTcO2
1.0
3.8656 0.0000 0.0000
0.0000 5.0256 0.0000
0.0000 0.0000 3.8656
O Tc V Na
2 1 1 1
Cartesian
1.9328 0.0000 0.0000
0.0000 0.0000 1.9328
0.0000 2.5128 0.0000
0.0000 0.0000 0.0000
1.9328 2.5128 1.9328
```

Calculated values
Its space group is No. 123. The total energy comes out at -5.827 eV per atom.